# 1
{"formula": "AlV5H", "functional": "PBE", "state": "relaxed", "volume_a3_per_atom": 13.6, "energy_ev_per_atom": -7.22, "magnetic_moment_mub_per_atom": 0.0000, "lattice_angstrom": [[-2.9656, -4.4301, -1.9456], [2.6117, -1.0367, -4.9305], [3.6027, -6.5734, -0.7413]], "species": ["V", "V", "V", "V", "V", "V", "V", "V", "V", "V", "Al", "Al", "H", "H"], "fractional_positions": [[0.6877, 0.8425, 0.1982], [0.2659, 0.5168, 0.4857], [0.8425, 0.6877, 0.6982], [0.3123, 0.1575, 0.8018], [0.0786, 0.9214, 0.2500], [0.4832, 0.7341, 0.0143], [0.5168, 0.2659, 0.9857], [0.7341, 0.4832, 0.5143], [0.1575, 0.3123, 0.3018], [0.9214, 0.0786, 0.7500], [0.3043, 0.6957, 0.7500], [0.6957, 0.3043, 0.2500], [0.0000, 0.0000, 0.5000], [0.0000, 0.0000, 0.0000]]}

# 2
{"formula": "AlPt2Br", "functional": "PBE", "state": "relaxed", "formation_energy_uncorrected_ev_per_fu": -1.56, "volume_a3_per_atom": 23.8, "energy_ev_per_atom": -4.76, "e_above_lowest_polymorph_ev_per_atom": 0.050, "magnetic_moment_mub_per_atom": 0.0000, "lattice_angstrom": [[3.4865, 0.0000, 0.0000], [0.0000, 3.9993, 0.0197], [0.0000, 2.0038, 6.8442]], "species": ["Pt", "Pt", "Al", "Br"], "fractional_positions": [[0.5000, 0.3560, 0.1665], [0.0000, 0.8328, 0.2122], [0.0000, 0.2230, 0.4280], [0.5000, 0.0883, 0.6934]]}

# 3
{"formula": "Be2SiAs", "functional": "PBE", "state": "relaxed", "formation_energy_uncorrected_ev_per_fu": 1.89, "volume_a3_per_atom": 16.9, "energy_ev_per_atom": -3.91, "e_above_lowest_polymorph_ev_per_atom": 0.300, "magnetic_moment_mub_per_atom": 0.0000, "lattice_angstrom": [[-3.6002, -2.9362, 3.0097], [1.8426, -4.6632, -2.3452], [2.1280, -4.2162, 3.5227]], "species": ["As", "As", "Be", "Be", "Be", "Be", "Si", "Si"], "fractional_positions": [[0.7500, 0.2500, 0.5000], [0.0000, 0.0000, 0.0000], [0.3750, 0.3599, 0.7500], [0.8750, 0.8901, 0.7500], [0.6401, 0.1250, 0.2500], [0.1099, 0.6250, 0.2500], [0.2500, 0.7500, 0.5000], [0.5000, 0.5000, 0.0000]]}

# 4
{"formula": "Th3Mg4Os4", "functional": "PBE", "state": "relaxed", "volume_a3_per_atom": 21.1, "energy_ev_per_atom": -6.71, "delta_e_f_kcal_per_mol_atoms": -0.6, "magnetic_moment_mub_per_atom": 0.0000, "lattice_angstrom": [[3.7977, 0.0000, -0.9447], [-0.9667, 6.8815, -3.8864], [0.1421, 0.3143, 8.6771]], "species": ["Mg", "Mg", "Mg", "Mg", "Th", "Th", "Th", "Os", "Os", "Os", "Os"], "fractional_positions": [[0.6750, 0.4888, 0.3499], [0.6750, 0.8611, 0.3499], [0.3250, 0.1389, 0.6501], [0.3250, 0.5112, 0.6501], [0.8843, 0.8843, 0.7686], [0.0000, 0.5000, 0.0000], [0.1157, 0.1157, 0.2314], [0.5000, 0.7957, 0.0000], [0.7527, 0.2527, 0.5053], [0.2473, 0.7473, 0.4947], [0.5000, 0.2043, 0.0000]]}

# 5
{"formula": "BaTaN2O", "functional": "PBE", "state": "relaxed", "formation_energy_uncorrected_ev_per_fu": -7.09, "volume_a3_per_atom": 14.5, "energy_ev_per_atom": -8.50, "magnetic_moment_mub_per_atom": 0.0660, "lattice_angstrom": [[4.1565, 0.0000, 0.0000], [0.0000, 4.1565, 0.0000], [0.0000, 0.0000, 4.2016]], "species": ["O", "N", "N", "Ba", "Ta"], "fractional_positions": [[0.0000, 0.0000, 0.5000], [0.5000, 0.0000, 0.0000], [0.0000, 0.5000, 0.0000], [0.5000, 0.5000, 0.5000], [0.0000, 0.0000, 0.0000]]}

# 6
{"formula": "AlGe2CS", "functional": "PBE", "state": "relaxed", "formation_energy_uncorrected_ev_per_fu": 5.72, "volume_a3_per_atom": 17.3, "energy_ev_per_atom": -4.12, "magnetic_moment_mub_per_atom": 0.0000, "lattice_angstrom": [[-2.1067, -4.0207, 2.0701], [3.0185, -1.7059, -0.2415], [1.2954, 1.6515, 4.5259]], "species": ["Al", "Ge", "Ge", "S", "C"], "fractional_positions": [[0.5000, 0.5000, 0.5000], [0.5000, 0.0000, 0.0000], [0.0000, 0.0000, 0.5000], [0.0000, 0.0000, 0.0000], [0.0000, 0.5000, 0.0000]]}

# 7
{"formula": "HfNi6Sn", "functional": "PBE", "state": "relaxed", "volume_a3_per_atom": 13.0, "energy_ev_per_atom": -6.40, "delta_e_f_kcal_per_mol_atoms": -7.3, "e_above_lowest_polymorph_ev_per_atom": 0.039, "magnetic_moment_mub_per_atom": 0.0000, "lattice_angstrom": [[-3.7781, -0.8533, 1.8069], [2.4173, -2.9703, 3.6516], [-0.7521, 5.1655, 0.8668]], "species": ["Ni", "Ni", "Ni", "Ni", "Ni", "Ni", "Hf", "Sn"], "fractional_positions": [[0.0000, 0.0665, 0.4082], [0.5000, 0.4324, 0.0914], [0.5000, 0.9086, 0.5676], [0.5000, 0.9088, 0.0912], [0.0000, 0.5916, 0.4084], [0.0000, 0.5918, 0.9335], [0.5000, 0.4165, 0.5835], [0.0000, 0.0834, 0.9166]]}

# 8
{"formula": "Ti2VC", "functional": "PBE", "state": "relaxed", "volume_a3_per_atom": 14.2, "energy_ev_per_atom": -8.53, "delta_e_f_kcal_per_mol_atoms": 0.0, "magnetic_moment_mub_per_atom": 0.0002, "lattice_angstrom": [[-6.8992, -2.2860, 2.0201], [2.4510, -7.1278, 0.3047], [-1.7419, -4.4586, 3.0903]], "species": ["C", "C", "V", "V", "Ti", "Ti", "Ti", "Ti"], "fractional_positions": [[0.5000, 0.5000, 0.0000], [0.2500, 0.7500, 0.5000], [0.0000, 0.0000, 0.0000], [0.7500, 0.2500, 0.5000], [0.2578, 0.6250, 0.2500], [0.4922, 0.1250, 0.2500], [0.8750, 0.7422, 0.7500], [0.3750, 0.5078, 0.7500]]}

# 9
{"formula": "CaIr2Br", "functional": "PBE", "state": "relaxed", "formation_energy_uncorrected_ev_per_fu": -0.91, "volume_a3_per_atom": 23.5, "energy_ev_per_atom": -5.58, "e_above_lowest_polymorph_ev_per_atom": 0.026, "magnetic_moment_mub_per_atom": 0.0000, "lattice_angstrom": [[3.5115, 0.0000, 0.0000], [0.0000, 3.4212, -0.1815], [0.0000, 2.4307, 7.7070]], "species": ["Ca", "Ir", "Ir", "Br"], "fractional_positions": [[0.5000, 0.6877, 0.7665], [0.5000, 0.4746, 0.1322], [0.0000, 0.0266, 0.0447], [0.0000, 0.3110, 0.5567]]}

# 10
{"formula": "ScZn2Sn2", "functional": "PBE", "state": "relaxed", "volume_a3_per_atom": 20.1, "energy_ev_per_atom": -3.65, "delta_e_f_kcal_per_mol_atoms": -6.4, "e_above_lowest_polymorph_ev_per_atom": 0.000, "magnetic_moment_mub_per_atom": 0.0000, "lattice_angstrom": [[4.1872, 0.0000, -0.7443], [0.0000, 4.2568, 0.0000], [-0.1464, 0.0000, 11.3267]], "species": ["Zn", "Zn", "Zn", "Zn", "Sc", "Sc", "Sn", "Sn", "Sn", "Sn"], "fractional_positions": [[0.0391, 0.7500, 0.0783], [0.9609, 0.2500, 0.9217], [0.4648, 0.7500, 0.9296], [0.5352, 0.2500, 0.0704], [0.3579, 0.2500, 0.7158], [0.6421, 0.7500, 0.2842], [0.1233, 0.2500, 0.2466], [0.7507, 0.2500, 0.5015], [0.8767, 0.7500, 0.7534], [0.2493, 0.7500, 0.4985]]}

# 11
{"formula": "SnHg2GeF6", "functional": "PBE", "state": "relaxed", "formation_energy_uncorrected_ev_per_fu": -16.84, "volume_a3_per_atom": 17.6, "energy_ev_per_atom": -3.73, "magnetic_moment_mub_per_atom": 0.0000, "lattice_angstrom": [[6.2775, 0.0008, 0.0067], [0.0007, 6.2803, 0.0068], [3.1449, 3.1465, 4.4632]], "species": ["F", "F", "F", "F", "F", "F", "Ge", "Sn", "Hg", "Hg"], "fractional_positions": [[0.7697, 0.2301, 0.0000], [0.7691, 0.7693, 0.0013], [0.2296, 0.2296, 0.5421], [0.2303, 0.7699, 0.0000], [0.7704, 0.7704, 0.4579], [0.2309, 0.2307, 0.9987], [0.5000, 0.5000, 0.0000], [0.0000, 0.0000, 0.0000], [0.7510, 0.2492, 0.4998], [0.2490, 0.7508, 0.5002]]}

# 12
{"formula": "InSb2S5", "functional": "PBE", "state": "relaxed", "formation_energy_uncorrected_ev_per_fu": -1.54, "volume_a3_per_atom": 27.0, "energy_ev_per_atom": -4.15, "magnetic_moment_mub_per_atom": 0.0000, "lattice_angstrom": [[-4.8806, 0.1274, 1.9702], [0.6322, -4.3537, -5.1867], [3.1426, -9.5540, 8.4027]], "species": ["S", "S", "S", "S", "S", "S", "S", "S", "S", "S", "Sb", "Sb", "Sb", "Sb", "In", "In"], "fractional_positions": [[0.9457, 0.8915, 0.8834], [0.6735, 0.3471, 0.9230], [0.2385, 0.4771, 0.7500], [0.0543, 0.1085, 0.1166], [0.0543, 0.1085, 0.3834], [0.6735, 0.3471, 0.5770], [0.3265, 0.6529, 0.4230], [0.7615, 0.5229, 0.2500], [0.9457, 0.8915, 0.6166], [0.3265, 0.6529, 0.0770], [0.1426, 0.2851, 0.9411], [0.1426, 0.2851, 0.5589], [0.8574, 0.7149, 0.4411], [0.8574, 0.7149, 0.0589], [0.7860, 0.5720, 0.7500], [0.2140, 0.4280, 0.2500]]}

# 13
{"formula": "CaRuAu4", "functional": "PBE", "state": "relaxed", "volume_a3_per_atom": 19.8, "energy_ev_per_atom": -4.02, "delta_e_f_kcal_per_mol_atoms": 1.1, "magnetic_moment_mub_per_atom": 0.3271, "lattice_angstrom": [[0.0000, 3.9043, 3.9043], [3.9043, 0.0000, 3.9043], [3.9043, 3.9043, 0.0000]], "species": ["Au", "Au", "Au", "Au", "Ca", "Ru"], "fractional_positions": [[0.3746, 0.8761, 0.3746], [0.3746, 0.3746, 0.3746], [0.3746, 0.3746, 0.8761], [0.8761, 0.3746, 0.3746], [0.7500, 0.7500, 0.7500], [0.0000, 0.0000, 0.0000]]}

# 14
{"formula": "Sm6Rh3I2", "functional": "PBE", "state": "relaxed", "formation_energy_uncorrected_ev_per_fu": -8.52, "volume_a3_per_atom": 32.2, "energy_ev_per_atom": -5.64, "magnetic_moment_mub_per_atom": 0.0443, "lattice_angstrom": [[6.8296, 0.0000, 2.0431], [3.4148, 6.1817, 1.0215], [-0.0112, 0.0000, 8.3933]], "species": ["Sm", "Sm", "Sm", "Sm", "Sm", "Sm", "I", "I", "Rh", "Rh", "Rh"], "fractional_positions": [[0.3956, 0.6667, 0.8151], [0.2720, 0.0000, 0.1830], [0.0623, 0.3333, 0.8151], [0.7280, 0.0000, 0.8170], [0.9377, 0.6667, 0.1849], [0.6044, 0.3333, 0.1849], [0.1662, 0.6675, 0.5000], [0.8338, 0.3325, 0.5000], [0.3317, 0.3366, 0.0000], [0.6683, 0.6634, 0.0000], [0.0000, 0.0000, 0.0000]]}

# 15
{"formula": "EuAlO3", "functional": "PBE", "state": "relaxed", "formation_energy_uncorrected_ev_per_fu": -14.53, "volume_a3_per_atom": 10.7, "energy_ev_per_atom": -8.68, "magnetic_moment_mub_per_atom": 1.1999, "lattice_angstrom": [[5.3283, 0.0000, 0.0000], [0.0000, 5.3357, 0.0000], [0.0000, 0.0000, 7.5547]], "species": ["O", "O", "O", "O", "O", "O", "O", "O", "O", "O", "O", "O", "Eu", "Eu", "Eu", "Eu", "Al", "Al", "Al", "Al"], "fractional_positions": [[0.2210, 0.2213, 0.4781], [0.5054, 0.9569, 0.2500], [0.2210, 0.2213, 0.0219], [0.9946, 0.4569, 0.7500], [0.2790, 0.7213, 0.9781], [0.7210, 0.2787, 0.4781], [0.4946, 0.0431, 0.7500], [0.2790, 0.7213, 0.5219], [0.7790, 0.7787, 0.5219], [0.7210, 0.2787, 0.0219], [0.0054, 0.5431, 0.2500], [0.7790, 0.7787, 0.9781], [0.0151, 0.9990, 0.7500], [0.4849, 0.4990, 0.2500], [0.5151, 0.5010, 0.7500], [0.9849, 0.0010, 0.2500], [0.0000, 0.5000, 0.5000], [0.5000, 0.0000, 0.5000], [0.5000, 0.0000, 0.0000], [0.0000, 0.5000, 0.0000]]}

# 16
{"formula": "Ag2SnPb2", "functional": "PBE", "state": "relaxed", "volume_a3_per_atom": 25.9, "energy_ev_per_atom": -3.26, "delta_e_f_kcal_per_mol_atoms": 3.8, "e_above_lowest_polymorph_ev_per_atom": 0.089, "magnetic_moment_mub_per_atom": 0.0000, "lattice_angstrom": [[-4.8597, 7.4471, -0.7121], [-6.5728, -4.6558, -3.8347], [-1.3022, -0.5702, 2.9242]], "species": ["Sn", "Sn", "Ag", "Ag", "Ag", "Ag", "Pb", "Pb", "Pb", "Pb"], "fractional_positions": [[0.5000, 0.5000, 0.0000], [0.0000, 0.0000, 0.0000], [0.1149, 0.6149, 0.5000], [0.3851, 0.1149, 0.5000], [0.8851, 0.3851, 0.5000], [0.6149, 0.8851, 0.5000], [0.6791, 0.1791, 0.0000], [0.1791, 0.3209, 0.0000], [0.3209, 0.8209, 0.0000], [0.8209, 0.6791, 0.0000]]}

# 17
{"formula": "Pm2HoAg3", "functional": "PBE", "state": "relaxed", "volume_a3_per_atom": 25.2, "energy_ev_per_atom": -4.06, "delta_e_f_kcal_per_mol_atoms": -6.7, "magnetic_moment_mub_per_atom": 0.0001, "lattice_angstrom": [[3.6693, 0.0000, 0.0000], [0.0000, 3.6693, 0.0000], [0.0000, 0.0000, 11.2159]], "species": ["Ag", "Ag", "Ag", "Pm", "Pm", "Ho"], "fractional_positions": [[0.0000, 0.0000, 0.3451], [0.0000, 0.0000, 0.0000], [0.0000, 0.0000, 0.6550], [0.5000, 0.5000, 0.8295], [0.5000, 0.5000, 0.1705], [0.5000, 0.5000, 0.5000]]}

# 18
{"formula": "AlIrRh", "functional": "PBE", "state": "relaxed", "volume_a3_per_atom": 14.2, "energy_ev_per_atom": -7.14, "delta_e_f_kcal_per_mol_atoms": -11.2, "e_above_lowest_polymorph_ev_per_atom": 0.054, "magnetic_moment_mub_per_atom": 0.0000, "lattice_angstrom": [[-2.2179, -0.4961, -1.6115], [2.5650, -0.1398, -1.0787], [0.2920, -6.1479, 1.4909]], "species": ["Ir", "Al", "Rh"], "fractional_positions": [[0.6667, 0.3333, 0.3165], [0.0000, 0.0000, 0.9980], [0.3333, 0.6667, 0.6855]]}

# 19
{"formula": "Sn3Pb12Au5", "functional": "PBE", "state": "relaxed", "volume_a3_per_atom": 33.3, "energy_ev_per_atom": -3.57, "delta_e_f_kcal_per_mol_atoms": 1.7, "magnetic_moment_mub_per_atom": 0.0000, "lattice_angstrom": [[-3.8993, -11.6731, -8.7944], [10.9321, 7.9748, -6.7599], [5.0167, -5.1643, 13.3030]], "species": ["Au", "Au", "Au", "Au", "Au", "Au", "Au", "Au", "Au", "Au", "Au", "Au", "Au", "Au", "Au", "Au", "Au", "Au", "Au", "Au", "Sn", "Sn", "Sn", "Sn", "Sn", "Sn", "Sn", "Sn", "Sn", "Sn", "Sn", "Sn", "Pb", "Pb", "Pb", "Pb", "Pb", "Pb", "Pb", "Pb", "Pb", "Pb", "Pb", "Pb", "Pb", "Pb", "Pb", "Pb", "Pb", "Pb", "Pb", "Pb", "Pb", "Pb", "Pb", "Pb", "Pb", "Pb", "Pb", "Pb", "Pb", "Pb", "Pb", "Pb", "Pb", "Pb", "Pb", "Pb", "Pb", "Pb", "Pb", "Pb", "Pb", "Pb", "Pb", "Pb", "Pb", "Pb", "Pb", "Pb"], "fractional_positions": [[0.3750, 0.1250, 0.7500], [0.0000, 0.5000, 0.5000], [0.5000, 0.0000, 0.0000], [0.5000, 0.5000, 0.5000], [0.8750, 0.2500, 0.6250], [0.1250, 0.7500, 0.3750], [0.7500, 0.1250, 0.8750], [0.5000, 0.5000, 0.0000], [0.7500, 0.6250, 0.3750], [0.0000, 0.0000, 0.0000], [0.8750, 0.6250, 0.7500], [0.0000, 0.5000, 0.0000], [0.3750, 0.2500, 0.1250], [0.5000, 0.0000, 0.5000], [0.6250, 0.7500, 0.8750], [0.2500, 0.3750, 0.6250], [0.1250, 0.3750, 0.2500], [0.6250, 0.8750, 0.2500], [0.0000, 0.0000, 0.5000], [0.2500, 0.8750, 0.1250], [0.6250, 0.2500, 0.3750], [0.8750, 0.1250, 0.2500], [0.2500, 0.6250, 0.8750], [0.7500, 0.8750, 0.6250], [0.3750, 0.6250, 0.2500], [0.6250, 0.3750, 0.7500], [0.3750, 0.7500, 0.6250], [0.7500, 0.3750, 0.1250], [0.1250, 0.2500, 0.8750], [0.1250, 0.8750, 0.7500], [0.8750, 0.7500, 0.1250], [0.2500, 0.1250, 0.3750], [0.0931, 0.1706, 0.2200], [0.4506, 0.7800, 0.8731], [0.7800, 0.3294, 0.9069], [0.1706, 0.0931, 0.7200], [0.9506, 0.3731, 0.2800], [0.0494, 0.4225, 0.8294], [0.4506, 0.6706, 0.0775], [0.5775, 0.6269, 0.4069], [0.5494, 0.2200, 0.1269], [0.2800, 0.8731, 0.9506], [0.0494, 0.6269, 0.7200], [0.9069, 0.8294, 0.7800], [0.1706, 0.0775, 0.9506], [0.5931, 0.7200, 0.6706], [0.1269, 0.4069, 0.0775], [0.1269, 0.7200, 0.5494], [0.2200, 0.6706, 0.0931], [0.5775, 0.9506, 0.6706], [0.3294, 0.5494, 0.4225], [0.8294, 0.9225, 0.0494], [0.9225, 0.0931, 0.8731], [0.2200, 0.5494, 0.6269], [0.2800, 0.4069, 0.8294], [0.5931, 0.8731, 0.4225], [0.9506, 0.5775, 0.1706], [0.3731, 0.9506, 0.7800], [0.8731, 0.2800, 0.4506], [0.4069, 0.2800, 0.3294], [0.4225, 0.3731, 0.5931], [0.6269, 0.5775, 0.9069], [0.3731, 0.4225, 0.0931], [0.9225, 0.8294, 0.5494], [0.3294, 0.7800, 0.4069], [0.7200, 0.5931, 0.1706], [0.0931, 0.9225, 0.3731], [0.0775, 0.9069, 0.1269], [0.6269, 0.0494, 0.2200], [0.6706, 0.2200, 0.5931], [0.8731, 0.5931, 0.9225], [0.7800, 0.4506, 0.3731], [0.8294, 0.9069, 0.2800], [0.4069, 0.1269, 0.5775], [0.5494, 0.3294, 0.9225], [0.7200, 0.1269, 0.0494], [0.4225, 0.0494, 0.3294], [0.9069, 0.0775, 0.6269], [0.0775, 0.1706, 0.4506], [0.6706, 0.4506, 0.5775]]}

# 20
{"formula": "CaTb2PuO6", "functional": "PBE", "state": "relaxed", "formation_energy_uncorrected_ev_per_fu": -32.41, "volume_a3_per_atom": 15.2, "energy_ev_per_atom": -8.78, "magnetic_moment_mub_per_atom": 0.4000, "lattice_angstrom": [[5.8744, 0.0000, 0.0002], [2.9372, 5.0874, -0.0001], [2.9371, 1.6959, 5.1001]], "species": ["O", "O", "O", "O", "O", "O", "Pu", "Ca", "Tb", "Tb"], "fractional_positions": [[0.6142, 0.2159, 0.2464], [0.1370, 0.4019, 0.7611], [0.7000, 0.1370, 0.7611], [0.4019, 0.7000, 0.7611], [0.9236, 0.6142, 0.2464], [0.2159, 0.9236, 0.2464], [0.3140, 0.3140, 0.0579], [0.8055, 0.8055, 0.5836], [0.5274, 0.5274, 0.4177], [0.0221, 0.0221, 0.9336]]}